Entry 1:
24
Lattice="-1.353 5.069 -3.430 -6.792 -0.119 -3.224 -3.349 5.555 3.803" Properties=species:S:1:pos:R:3 comment="TbCo9Si2, optimized geometry, DFT PBE" e_form_raw_ev_per_atom=-0.317 pbc="T T T"
Si -1.674 2.778 1.902
Si -4.072 2.475 -3.327
Si 0.000 0.000 0.000
Si -5.070 2.718 0.290
Co -2.164 3.260 -2.162
Co -5.393 8.572 -0.955
Co -1.361 1.900 -0.277
Co -6.100 1.933 -1.896
Co -2.917 3.695 0.127
Co -10.132 8.605 -2.573
Co -7.809 5.742 0.870
Co -4.756 6.390 -2.240
Co -9.329 7.245 -0.689
Co -3.685 4.762 -3.720
Co -4.564 4.023 -1.602
Co -6.737 4.114 -0.611
Co -8.576 6.810 -2.977
Co -6.929 6.481 -1.248
Co -8.858 4.979 -1.360
Co -2.635 5.526 -1.490
Co -7.885 8.915 -1.654
Co -3.609 1.590 -1.196
Tb -6.777 4.467 -3.611
Tb -4.717 6.037 0.760

---

Entry 2:
8
Lattice="-2.299 -1.348 6.296 -4.033 -4.910 -2.524 -1.100 -5.007 2.238" Properties=species:S:1:pos:R:3 comment="HfMgNi2, optimized geometry, DFT PBE" e_form_ev_per_fu=0.58 pbc="T T T"
Ni -6.378 -9.245 4.972
Ni -2.223 -2.712 4.197
Ni -3.076 -4.485 -0.250
Ni -3.188 -6.087 3.101
Mg -4.150 -6.523 0.800
Mg -3.166 -3.129 1.886
Hf 0.000 0.000 0.000
Hf -3.283 -4.742 5.210

---

Entry 3:
4
Lattice="-0.290 5.106 -3.141 -2.742 4.118 -3.398 -1.934 3.953 3.260" Properties=species:S:1:pos:R:3 comment="KAlMo2, optimized geometry, DFT PBE" e_form_ev_per_fu=3.55 pbc="T T T"
Mo -2.475 6.456 -1.206
Mo -1.942 4.085 2.827
Al -3.725 9.882 -2.458
K -1.242 3.294 -0.819

---

Entry 4:
9
Lattice="-2.212 -2.673 -0.755 -0.266 -0.073 9.391 -5.911 6.064 -4.150" Properties=species:S:1:pos:R:3 comment="Dy2Y2ErTm4, optimized geometry, DFT PBE" e_form_ev_per_fu=0.00 pbc="T T T"
Dy -6.813 5.109 1.876
Dy -1.576 -1.791 2.610
Tm -2.490 1.512 1.943
Tm -5.263 2.689 5.904
Tm -3.126 0.629 -1.418
Tm -5.899 1.806 2.543
Er 0.000 0.000 0.000
Y -4.055 -0.298 4.590
Y -4.334 3.616 -0.104

---

Entry 5:
4
Lattice="3.847 0.036 0.000 -0.040 3.847 0.000 0.000 0.000 8.982" Properties=species:S:1:pos:R:3 comment="Ba2LiPt, optimized geometry, DFT PBE" e_form_ev_per_fu=-0.96 pbc="T T T"
Ba 1.904 1.941 3.014
Ba 0.000 0.000 8.108
Li 0.000 0.000 5.243
Pt 1.904 1.941 6.091

---

Entry 6:
12
Lattice="4.641 0.000 1.381 2.115 4.131 1.381 -0.061 -0.037 8.694" Properties=species:S:1:pos:R:3 comment="U2PaNi9, optimized geometry, DFT PBE" e_form_ev_per_fu=-3.90 pbc="T T T"
Ni 5.120 1.715 4.007
Ni 2.805 1.715 3.318
Ni 2.835 0.318 7.449
Ni 1.575 2.379 7.449
Ni 4.446 2.719 10.525
Ni 3.860 3.775 4.007
Ni 3.890 2.379 8.138
Ni 2.249 1.375 0.931
Ni 3.347 2.047 5.728
Pa 0.000 0.000 0.000
U 0.927 0.567 5.373
U 5.768 3.527 6.083

---

Entry 7:
5
Lattice="-1.497 -2.840 -2.377 2.541 1.077 -2.887 2.944 -2.836 1.533" Properties=species:S:1:pos:R:3 comment="NaBP2O, optimized geometry, DFT PBE" e_form_raw_ev_per_atom=0.523 polymorph_energy_ev_per_atom=0.0000 pbc="T T T"
O 1.472 -1.418 0.767
Na 1.994 -2.299 -1.865
P -0.748 -1.420 -1.189
P 1.271 0.539 -1.444
B 0.000 0.000 0.000

---

Entry 8:
5
Lattice="5.711 0.000 0.000 0.000 5.711 0.000 2.856 2.856 3.971" Properties=species:S:1:pos:R:3 comment="Sb2Se2S, optimized geometry, DFT PBE" e_form_raw_ev_per_atom=0.278 pbc="T T T"
S 0.000 0.000 0.000
Sb 2.856 5.711 1.985
Sb 5.711 2.856 1.985
Se 2.856 2.856 1.410
Se 5.711 5.711 2.560

---

Question: What is the formula in the second record?
Answer: HfMgNi2